[1]
Material: K3Rb12Cd
Method: DFT, GGA-PBE
State: optimized geometry

Summary:
Energy of formation from the pure elements = 0.02 eV per atom

Cell and atoms, written as extended XYZ:
```
16
Lattice="-2.059 6.062 -2.585 -6.468 -1.341 2.006 4.912 11.779 23.707" Properties=species:S:1:pos:R:3 pbc="T T T"
Rb 2.076 10.478 13.696
Rb 0.777 7.362 7.425
K 2.456 5.889 11.853
Rb 1.167 9.884 22.246
Rb 3.372 13.585 19.950
Rb -2.724 0.554 3.467
Rb -4.264 2.360 -0.289
Rb -1.428 3.661 9.721
Rb -0.519 4.255 1.171
Rb -1.808 8.250 11.564
Rb -0.511 11.359 17.822
K 1.161 2.784 5.602
Rb -0.129 6.777 15.992
Rb -3.104 5.140 5.306
K 3.751 8.995 18.104
Cd 0.000 0.000 0.000
```

=====

[2]
Material: Cr
Method: DFT, GGA-PBE
State: optimized geometry

Summary:
Excess energy over the best structure of this formula in the dataset = 0.402 eV/atom
Energy of formation from the pure elements = 0.40 eV per atom

Cell and atoms, written as extended XYZ:
```
16
Lattice="6.932 0.000 0.000 0.000 6.932 0.000 0.000 0.000 4.137" Properties=species:S:1:pos:R:3 pbc="T T T"
Cr 5.553 0.874 2.069
Cr 6.058 5.553 2.069
Cr 4.845 4.340 0.000
Cr 2.592 4.845 0.000
Cr 3.261 1.262 2.069
Cr 4.728 6.727 0.000
Cr 2.087 2.592 0.000
Cr 5.670 3.261 2.069
Cr 3.672 5.670 2.069
Cr 1.262 3.672 2.069
Cr 6.727 2.204 0.000
Cr 1.379 6.058 2.069
Cr 0.874 1.379 2.069
Cr 4.340 2.087 0.000
Cr 0.206 4.728 0.000
Cr 2.204 0.206 0.000
```

=====

[3]
Material: Tm7Ga2Si2
Method: DFT, GGA-PBE
State: optimized geometry

Summary:
Uncorrected formation energy = -0.1993 eV per atom

Cell and atoms, written as extended XYZ:
```
11
Lattice="6.402 -0.003 -0.943 0.003 7.166 0.003 -1.340 -0.002 6.330" Properties=species:S:1:pos:R:3 pbc="T T T"
Si 0.844 3.582 0.899
Tm 2.530 1.883 2.696
Tm 1.866 5.099 5.860
Ga 0.922 -0.002 4.205
Tm 5.731 2.060 2.226
Tm -0.666 5.101 3.165
Ga 4.143 7.163 1.186
Tm 0.000 0.000 0.000
Si 4.221 3.579 4.492
Tm 3.199 2.062 -0.469
Tm 2.535 5.278 2.694
```

=====

[4]
Material: PmPr3Au2
Method: DFT, GGA-PBE
State: optimized geometry

Summary:
Excess energy over the best structure of this formula in the dataset = 0.075 eV/atom
Energy of formation from the pure elements = -0.47 eV per atom

Cell and atoms, written as extended XYZ:
```
12
Lattice="4.722 0.000 0.000 -2.361 8.691 -0.501 0.000 -4.192 9.043" Properties=species:S:1:pos:R:3 pbc="T T T"
Pr 2.361 -0.698 6.430
Au 0.000 5.017 7.166
Au 2.361 3.911 0.545
Pr 0.000 2.469 5.540
Pr 2.361 5.173 5.080
Au 0.000 0.587 7.997
Pr 2.361 2.030 3.002
Au 2.361 -0.518 1.375
Pm 0.000 1.822 0.135
Pr 0.000 5.197 2.112
Pm 2.361 2.676 8.406
Pr 0.000 -0.675 3.462
```

=====

[5]
Material: SeSBr2N
Method: DFT, GGA-PBE
State: optimized geometry

Summary:
Excess energy over the best structure of this formula in the dataset = 0.046 eV/atom
Uncorrected formation energy = 1.3907 eV per atom

Cell and atoms, written as extended XYZ:
```
5
Lattice="-2.040 3.014 -3.748 -0.229 -4.127 -3.194 -4.472 -1.008 1.623" Properties=species:S:1:pos:R:3 pbc="T T T"
Br -0.114 -2.063 -1.597
N -3.370 -1.061 -2.660
Se -2.236 -0.504 0.811
Br -1.020 1.507 -1.874
S 0.000 0.000 0.000
```

=====

[6]
Material: CrTe2
Method: DFT, GGA-PBE
State: optimized geometry

Summary:
Uncorrected formation energy = -0.1382 eV per atom

Cell and atoms, written as extended XYZ:
```
6
Lattice="7.530 -0.023 0.000 -6.439 3.903 0.000 0.000 0.000 5.486" Properties=species:S:1:pos:R:3 pbc="T T T"
Te -6.254 3.851 2.743
Cr 3.728 1.046 0.000
Te -5.072 3.519 0.000
Te -1.447 2.500 0.000
Cr -1.085 2.398 2.743
Te 4.090 0.944 2.743
```

=====

[7]
Material: Ti4MnSe8
Method: DFT, GGA-PBE
State: optimized geometry

Summary:
Excess energy over the best structure of this formula in the dataset = 0.000 eV/atom
Uncorrected formation energy = -1.0208 eV per atom

Cell and atoms, written as extended XYZ:
```
13
Lattice="-5.299 0.461 -5.483 -4.419 -5.821 -2.225 -7.527 -0.415 1.234" Properties=species:S:1:pos:R:3 pbc="T T T"
Se -12.863 -4.307 -4.828
Ti 0.000 0.000 0.000
Se -10.319 -4.579 -2.117
Ti -4.859 -2.680 -3.854
Se -8.047 -1.636 -0.979
Se -6.926 -1.195 -4.356
Se -4.382 -1.467 -1.645
Se -6.484 -4.353 -2.718
Se -9.198 -4.138 -5.494
Ti -5.973 -3.118 -0.495
Ti -6.413 0.023 -2.124
Mn -8.623 -2.887 -3.237
Se -10.761 -1.421 -3.755
```

=====

[8]
Material: SmDyAu
Method: DFT, GGA-PBE
State: optimized geometry

Summary:
Excess energy over the best structure of this formula in the dataset = 0.074 eV/atom
Energy of formation from the pure elements = -0.54 eV per atom

Cell and atoms, written as extended XYZ:
```
6
Lattice="4.823 0.000 0.000 0.000 4.823 0.000 0.000 0.000 7.331" Properties=species:S:1:pos:R:3 pbc="T T T"
Sm 0.000 2.411 6.427
Dy 0.000 0.000 3.665
Au 2.411 0.000 5.367
Au 0.000 2.411 1.964
Sm 2.411 0.000 0.904
Dy 2.411 2.411 3.665
```

=====

Values of DOS(E_F), in order: 12.653, 19.160, 8.995, 14.380, 3.978, 1.818, 6.338, 8.333, all in states/eV per cell.
Values of total magnetic moment, in order: 0.00, 0.00, 0.00, 0.00, 0.57, 1.05, 0.35, 0.00, all in μB/atom.